Computed, not measured: a geometry-optimized Pm2ErTm3 structure at the GGA-PBE level of DFT.

abc: 3.480 9.003 12.864
angles: 78.11 82.23 78.86
Fractional positions:
Pm 0.820 0.480 0.881
Pm 0.180 0.520 0.119
Pm 0.656 0.157 0.531
Pm 0.344 0.843 0.469
Er 0.437 0.483 0.643
Er 0.563 0.517 0.357
Tm 0.039 0.131 0.791
Tm 0.961 0.869 0.209
Tm 0.598 0.829 0.974
Tm 0.402 0.171 0.026
Tm 0.737 0.817 0.708
Tm 0.263 0.183 0.292

- space-group type = C2/m
- ΔE_f (eV/f.u.) = 0.7
- E above lowest polymorph (meV per atom) = 43

Computed, not measured: a geometry-optimized LiSi2W structure at the GGA-PBE level of DFT.

abc: 6.676 6.676 5.420
angles: 51.99 51.99 90.00
Fractional positions:
Si 0.615 0.125 0.250
Si 0.135 0.625 0.250
Si 0.375 0.385 0.750
Si 0.875 0.865 0.750
W 0.000 0.000 0.000
W 0.750 0.250 0.500
Li 0.500 0.500 0.000
Li 0.250 0.750 0.500

- space-group type = I-42d
- energy relative to the elements, uncorrected (eV/atom) = 0.50
- E above lowest polymorph (meV per atom) = 555

Computed, not measured: a geometry-optimized CuTe2RuI structure at the GGA-PBE level of DFT.

abc: 5.133 5.133 5.314
angles: 90.00 90.00 90.00
Fractional positions:
I 0.000 0.000 0.500
Ru 0.500 0.500 0.500
Te 0.000 0.500 0.000
Te 0.500 0.000 0.000
Cu 0.000 0.000 0.000

- space-group type = P4/mmm
- energy relative to the elements, uncorrected (eV/atom) = 1.10
- E above lowest polymorph (meV per atom) = 370

Computed, not measured: a geometry-optimized Ce2Pm2Si3 structure at the GGA-PBE level of DFT.

abc: 4.230 7.139 7.245
angles: 99.33 90.00 107.22
Fractional positions:
Ce 0.626 0.252 0.879
Ce 0.374 0.748 0.121
Pm 0.871 0.743 0.628
Pm 0.129 0.257 0.372
Si 0.000 0.000 0.000
Si 0.753 0.506 0.247
Si 0.247 0.494 0.753

- space-group type = C2/m
- energy relative to the elements, uncorrected (eV/atom) = -0.39

Number 1: total energy -4.457 eV per atom, DOS(E_F) 1.57 states/eV per atom. Number 2: total energy -5.932 eV per atom, DOS(E_F) 0.84 states/eV per atom. Number 3: total energy -3.145 eV per atom, DOS(E_F) 1.46 states/eV per atom. Number 4: total energy -5.772 eV per atom, DOS(E_F) 1.04 states/eV per atom.